Entry 1:
This record from Alexandria via LeMat-Bulk describes a geometry-optimized LiTcSe2N structure. The functional is PBE-GGA.

SG = P4/mmm (123)
energy relative to the elements, uncorrected = -15 meV per atom
magnetization = 0.110 μB/atom
excess energy over the best structure of this formula in the dataset = 0.000 eV per atom

```
LiTcSe2N
1.0
-4.1200 -2.3353 -1.8875
1.9460 -4.5172 1.3411
-1.6656 0.2646 3.3082
Se N Li Tc
2 1 1 1
direct
0.5000 0.0000 0.0000 Se
0.0000 0.5000 0.0000 Se
0.0000 0.0000 0.5000 N
0.5000 0.5000 0.5000 Li
0.0000 0.0000 0.0000 Tc
```

***

Entry 2:
This record from Alexandria via LeMat-Bulk describes a geometry-optimized LiTc2SeN structure. The functional is PBE-GGA.

SG = P4/mmm (123)
energy relative to the elements, uncorrected = 1591 meV per atom
magnetization = 0.663 μB/atom

```
LiTc2SeN
1.0
4.6763 0.0000 0.0000
0.0000 4.0380 0.0000
0.0000 0.0000 4.6763
Tc Li N Se
2 1 1 1
direct
0.5000 0.0000 0.0000 Tc
0.0000 0.0000 0.5000 Tc
0.5000 0.5000 0.5000 Li
0.0000 0.5000 0.0000 N
0.0000 0.0000 0.0000 Se
```

***

Entry 3:
This record from Alexandria via LeMat-Bulk describes a geometry-optimized LiTeSe2N structure. The functional is PBE-GGA.

SG = P4/mmm (123)
energy relative to the elements, uncorrected = 567 meV per atom
magnetization = 0.132 μB/atom
excess energy over the best structure of this formula in the dataset = 0.000 eV per atom

```
LiTeSe2N
1.0
5.4624 0.0000 0.0000
0.0000 5.4624 0.0000
0.0000 0.0000 3.9917
Se Li Te N
2 1 1 1
direct
0.5000 0.0000 0.0000 Se
0.0000 0.5000 0.0000 Se
0.5000 0.5000 0.5000 Li
0.0000 0.0000 0.0000 Te
0.0000 0.0000 0.5000 N
```

***

Entry 4:
This record from Alexandria via LeMat-Bulk describes a geometry-optimized LiTeSe2N structure. The functional is PBE-GGA.

SG = P4/mmm (123)
energy relative to the elements, uncorrected = 817 meV per atom
magnetization = 0.487 μB/atom
excess energy over the best structure of this formula in the dataset = 0.250 eV per atom

```
LiTeSe2N
1.0
4.9621 0.0000 0.0000
0.0000 4.9621 0.0000
0.0000 0.0000 3.8839
Se Te Li N
2 1 1 1
direct
0.5000 0.0000 0.0000 Se
0.0000 0.5000 0.0000 Se
0.5000 0.5000 0.5000 Te
0.0000 0.0000 0.0000 Li
0.0000 0.0000 0.5000 N
```

***

Entry 5:
This record from Alexandria via LeMat-Bulk describes a geometry-optimized LiTe2SeN structure. The functional is PBE-GGA.

SG = P4/mmm (123)
energy relative to the elements, uncorrected = 837 meV per atom
magnetization = 0.000 μB/atom
excess energy over the best structure of this formula in the dataset = 0.244 eV per atom

```
LiTe2SeN
1.0
-0.9050 -3.3341 -3.8683
4.8439 0.6839 -1.7228
1.1200 -2.7096 2.0734
Te Li N Se
2 1 1 1
direct
0.5000 0.0000 0.0000 Te
0.0000 0.5000 0.0000 Te
0.0000 0.0000 0.0000 Li
0.0000 0.0000 0.5000 N
0.5000 0.5000 0.5000 Se
```

***

Entry 6:
This record from Alexandria via LeMat-Bulk describes a geometry-optimized LiTe2SeN structure. The functional is PBE-GGA.

SG = P4/mmm (123)
energy relative to the elements, uncorrected = 594 meV per atom
magnetization = 0.000 μB/atom
excess energy over the best structure of this formula in the dataset = 0.000 eV per atom

```
LiTe2SeN
1.0
-4.5100 4.0251 0.1148
-3.9938 -4.4933 0.6439
0.3026 0.2381 3.5384
Se Te Li N
1 2 1 1
direct
0.0000 0.0000 0.0000 Se
0.0000 0.5000 0.0000 Te
0.5000 0.0000 0.0000 Te
0.5000 0.5000 0.5000 Li
0.0000 0.0000 0.5000 N
```

***

Entry 7:
This record from Alexandria via LeMat-Bulk describes a geometry-optimized LiThSeN structure. The functional is PBE-GGA.

SG = R-3m (166)
energy relative to the elements, uncorrected = -1680 meV per atom
magnetization = 0.000 μB/atom

```
LiThSeN
1.0
4.0850 0.0000 0.0000
2.0425 3.5377 0.0000
2.0425 1.1792 10.6566
N Th Li Se
2 2 2 2
direct
0.1950 0.1950 0.4151 N
0.8050 0.8050 0.5849 N
0.1213 0.1213 0.6362 Th
0.8787 0.8787 0.3638 Th
0.3055 0.3055 0.0834 Li
0.6945 0.6945 0.9166 Li
0.6121 0.6121 0.1637 Se
0.3879 0.3879 0.8363 Se
```

***

Entry 8:
This record from Alexandria via LeMat-Bulk describes a geometry-optimized LiTiSeN2 structure. The functional is PBE-GGA.

SG = P4/mmm (123)
energy relative to the elements, uncorrected = 17 meV per atom
magnetization = 0.250 μB/atom
excess energy over the best structure of this formula in the dataset = 0.000 eV per atom

```
LiTiSeN2
1.0
3.8611 0.0000 0.0000
0.0000 3.8611 0.0000
0.0000 0.0000 5.2982
Se Ti Li N
1 1 1 2
direct
0.0000 0.0000 0.5000 Se
0.0000 0.0000 0.0000 Ti
0.5000 0.5000 0.5000 Li
0.5000 0.0000 0.0000 N
0.0000 0.5000 0.0000 N
```

***

Entry 9:
This record from Alexandria via LeMat-Bulk describes a geometry-optimized LiTiSeN2 structure. The functional is PBE-GGA.

SG = P4/mmm (123)
energy relative to the elements, uncorrected = 1038 meV per atom
magnetization = 0.000 μB/atom
excess energy over the best structure of this formula in the dataset = 1.021 eV per atom

```
LiTiSeN2
1.0
3.6872 0.0000 0.0000
0.0000 3.6872 0.0000
0.0000 0.0000 4.4807
Se N Li Ti
1 2 1 1
direct
0.0000 0.0000 0.5000 Se
0.5000 0.0000 0.0000 N
0.0000 0.5000 0.0000 N
0.0000 0.0000 0.0000 Li
0.5000 0.5000 0.5000 Ti
```

***

Entry 10:
This record from Alexandria via LeMat-Bulk describes a geometry-optimized LiTlSe2N structure. The functional is PBE-GGA.

SG = P4/mmm (123)
energy relative to the elements, uncorrected = 717 meV per atom
magnetization = 0.505 μB/atom
excess energy over the best structure of this formula in the dataset = 0.000 eV per atom

```
LiTlSe2N
1.0
-3.2131 -0.4474 3.8495
1.9198 -4.5276 1.0762
2.7015 1.7293 2.4558
Se N Tl Li
2 1 1 1
direct
0.5000 0.0000 0.0000 Se
0.0000 0.5000 0.0000 Se
0.0000 0.0000 0.5000 N
0.5000 0.5000 0.5000 Tl
0.0000 0.0000 0.0000 Li
```

***

Entry 11:
This record from Alexandria via LeMat-Bulk describes a geometry-optimized LiTlSe2N structure. The functional is PBE-GGA.

SG = P4/mmm (123)
energy relative to the elements, uncorrected = 809 meV per atom
magnetization = 0.541 μB/atom
excess energy over the best structure of this formula in the dataset = 0.092 eV per atom

```
LiTlSe2N
1.0
5.5483 0.0000 0.0000
0.0000 5.5483 0.0000
0.0000 0.0000 4.4085
Se N Li Tl
2 1 1 1
direct
0.0000 0.5000 0.0000 Se
0.5000 0.0000 0.0000 Se
0.0000 0.0000 0.5000 N
0.5000 0.5000 0.5000 Li
0.0000 0.0000 0.0000 Tl
```

***

Entry 12:
This record from Alexandria via LeMat-Bulk describes a geometry-optimized LiUSeN2 structure. The functional is PBE-GGA.

SG = P2_1/m (11)
energy relative to the elements, uncorrected = -915 meV per atom
magnetization = 0.000 μB/atom

```
LiUSeN2
1.0
-2.7581 -0.8119 -1.7600
1.4443 -6.0315 0.5192
-4.4806 0.7939 6.6554
U N Se Li
2 4 2 2
direct
0.7500 0.8383 0.3313 U
0.2500 0.1617 0.6687 U
0.2500 0.0595 0.3835 N
0.7500 0.3584 0.6671 N
0.7500 0.9405 0.6165 N
0.2500 0.6416 0.3329 N
0.2500 0.8197 0.9925 Se
0.7500 0.1803 0.0075 Se
0.7500 0.6786 0.7388 Li
0.2500 0.3214 0.2612 Li
```

***

Entry 13:
This record from Alexandria via LeMat-Bulk describes a geometry-optimized LiVSe2N structure. The functional is PBE-GGA.

SG = P4/mmm (123)
energy relative to the elements, uncorrected = -274 meV per atom
magnetization = 0.000 μB/atom
excess energy over the best structure of this formula in the dataset = 0.000 eV per atom

```
LiVSe2N
1.0
-4.9494 0.0628 -0.8355
-0.8372 -0.1785 4.9463
0.0233 3.6264 0.1348
Se V Li N
2 1 1 1
direct
0.5000 0.0000 0.0000 Se
0.0000 0.5000 0.0000 Se
0.0000 0.0000 0.0000 V
0.5000 0.5000 0.5000 Li
0.0000 0.0000 0.5000 N
```

***

Entry 14:
This record from Alexandria via LeMat-Bulk describes a geometry-optimized LiVSe2N structure. The functional is PBE-GGA.

SG = P4/mmm (123)
energy relative to the elements, uncorrected = 787 meV per atom
magnetization = 0.313 μB/atom
excess energy over the best structure of this formula in the dataset = 1.061 eV per atom

```
LiVSe2N
1.0
4.6972 0.0000 0.0000
0.0000 4.6972 0.0000
0.0000 0.0000 3.5200
Li N Se V
1 1 2 1
direct
0.0000 0.0000 0.0000 Li
0.0000 0.0000 0.5000 N
0.0000 0.5000 0.0000 Se
0.5000 0.0000 0.0000 Se
0.5000 0.5000 0.5000 V
```

***

E per entry: -27.6, -26.5, -17.5, -16.3, -15.8, -17.0, -27.9, -29.9, -24.8, -16.0, -15.5, -37.9, -27.7, -22.4 eV/f.u.